Compound: CdCoSeO
Source: the Open Quantum Materials Database
Functional: GGA+U
Structure: optimized geometry

Properties
- Volume: 17.39 Å³ per atom
- Total energy: -4.04 eV per atom

Cell and atoms, written as CIF:
```
data_CdCoSeO
_chemical_formula_sum 'Cd4 Co4 Se4 O4'
_space_group_name_H-M_alt 'C m c 21'
_space_group_IT_number 36
_cell_length_a 3.607
_cell_length_b 6.226
_cell_length_c 12.387
_cell_angle_alpha 90.00
_cell_angle_beta 90.00
_cell_angle_gamma 90.00
loop_
_space_group_symop_operation_xyz
'x,y,z'
'-x,-y,z+1/2'
'-x,y,z'
'x,-y,z+1/2'
'x+1/2,y+1/2,z'
'-x+1/2,-y+1/2,z+1/2'
'-x+1/2,y+1/2,z'
'x+1/2,-y+1/2,z+1/2'
loop_
_atom_site_label
_atom_site_fract_x
_atom_site_fract_y
_atom_site_fract_z
Cd1 0.000 0.000 0.000
Co1 0.000 0.333 0.226
Se1 0.000 0.335 0.865
O1 0.000 0.000 0.172
```